## Nd4In2Sn (PBE-GGA)

Data for crystalline Nd4In2Sn at its relaxed geometry.

Unit cell a=8.317 b=8.317 c=8.317 alpha=109.57 beta=109.57 gamma=109.26
Fractional coordinates of all 14 atoms:
Nd: 0.127 0.523 0.750
Nd: 0.128 0.023 0.750
Nd: 0.273 0.377 0.250
Nd: 0.477 0.227 0.605
Nd: 0.622 0.873 0.395
Nd: 0.623 0.872 0.895
Nd: 0.773 0.378 0.250
Nd: 0.977 0.727 0.105
In: 0.375 0.003 0.128
In: 0.753 0.625 0.628
In: 0.875 0.247 0.872
In: 0.997 0.125 0.372
Sn: 0.250 0.750 0.500
Sn: 0.500 0.500 0.000

DFT formation energy ... -0.466 eV per atom
Offset from the most stable computed form ... 0.00 kcal/mol of atoms
Calculated total energy ... -63.62 eV/cell
Calculated density ... 6.9 Mg/m³